DFT (PBE) results for Ca2SmHfAs4 after structural relaxation.

Unit cell a=4.0762 b=7.1019 c=7.2706 alpha=108.76 beta=90.00 gamma=90.00
With the nearest neighbours (Å) after each atom.
Fractional coordinates of all 8 atoms:
Hf1 0.0000 0.0000 0.0000  6 As 2.76-2.78
As1 0.5000 0.7733 0.7733  2 Hf 2.78, 1 Sm 2.92, 3 Ca 2.93-3.06
As2 0.5000 0.2267 0.2267  2 Hf 2.78, 1 Sm 2.92, 3 Ca 2.93-3.06
As3 0.0000 0.2374 0.7646  1 Hf 2.76, 2 Sm 2.92, 3 Ca 2.93-3.08
As4 0.0000 0.7626 0.2354  1 Hf 2.76, 2 Sm 2.92, 3 Ca 2.93-3.08
Ca1 0.5000 0.0000 0.5000  6 As 2.93
Ca2 0.0000 0.5000 0.5000  6 As 3.06-3.08
Sm1 0.5000 0.5000 0.0000  6 As 2.92

Values from the calculation:
- Calculated volume: 24.91 Å³/atom
- SG: P2/m, No. 10
- E: -5.824 eV/atom